Entry 1:
Dy2TlNi | GGA-PBE | optimized geometry

It has space group Pnma (No. 62), with a = 7.3378 Å, b = 7.2839 Å, c = 7.3295 Å, α = 90.00°, β = 90.00° and γ = 90.00°. The asymmetric unit holds Dy at (0.1769, 0.0027, 0.1786), Tl at (0.0021, 0.2500, 0.4987) and Ni at (0.1139, 0.7500, 0.8878).

The total magnetization is 0.00 μB per cell. The value obtained for the relative energy among the computed polymorphs is 10 meV per atom. As for the total DFT energy (no corrections): -75.1 eV for the cell shown.

Entry 2:
RbNaBi2Au | GGA-PBE | optimized geometry

It has space group P4/mmm (No. 123), with a = 5.6002 Å, b = 5.6002 Å, c = 5.8120 Å, α = 90.00°, β = 90.00° and γ = 90.00°. The asymmetric unit holds Rb at (0.0000, 0.0000, 0.0000), Na at (0.0000, 0.0000, 0.5000), Bi at (0.0000, 0.5000, 0.5000) and Au at (0.5000, 0.5000, 0.0000).

The total magnetization is 0.00 μB per cell. As for the total DFT energy (no corrections): -10.9 eV for the cell shown.

Entry 3:
Fe2AgMo | GGA-PBE | optimized geometry

It has space group P4/mmm (No. 123), with a = 3.1239 Å, b = 3.1239 Å, c = 5.8296 Å, α = 90.00°, β = 90.00° and γ = 90.00°. The asymmetric unit holds Fe at (0.0000, 0.0000, 0.2118), Ag at (0.5000, 0.5000, 0.5000) and Mo at (0.5000, 0.5000, 0.0000).

The total magnetization is 2.73 μB per cell. The value obtained for the relative energy among the computed polymorphs is 98 meV per atom. As for the total DFT energy (no corrections): -29.1 eV for the cell shown.

Entry 4:
Ca2TiNi2 | GGA-PBE | optimized geometry

It has space group P4/mbm (No. 127), with a = 6.5564 Å, b = 6.5564 Å, c = 4.6836 Å, α = 90.00°, β = 90.00° and γ = 90.00°. The asymmetric unit holds Ca at (0.1774, 0.3226, 0.0000), Ti at (0.0000, 0.0000, 0.5000) and Ni at (0.1277, 0.6277, 0.5000).

The total magnetization is 0.00 μB per cell. As for the total DFT energy (no corrections): -46.8 eV for the cell shown.

Entry 5:
Ho3Al3CoHg2 | GGA-PBE | optimized geometry

It has space group P-62m (No. 189), with a = 7.2592 Å, b = 7.2592 Å, c = 4.1361 Å, α = 90.00°, β = 90.00° and γ = 120.00°. The asymmetric unit holds Ho at (0.0000, 0.3848, 0.0000), Al at (0.0000, 0.7819, 0.5000), Co at (0.0000, 0.0000, 0.0000) and Hg at (0.3333, 0.6667, 0.5000).

The total magnetization is 0.00 μB per cell. As for the total DFT energy (no corrections): -37.1 eV for the cell shown.

Entry 6:
Pu2AlCu3 | GGA-PBE | optimized geometry

It has space group P6_3/mmc (No. 194), with a = 5.3650 Å, b = 5.3650 Å, c = 8.3958 Å, α = 90.00°, β = 90.00° and γ = 120.00°. The asymmetric unit holds Pu at (0.3333, 0.6667, 0.0581), Al at (0.0000, 0.0000, 0.0000) and Cu at (0.1660, 0.3321, 0.7500).

The total magnetization is 22.21 μB per cell. As for the total DFT energy (no corrections): -91.3 eV for the cell shown.

We obtain ΔE_f values of -34.0, 46.0, 36.5, 1.1, -47.0, -15.2 kJ per mole of atoms for the records listed above, in that order.